Entry from the Alexandria database: an optimized crystal structure of KBa2SrSe (PBE).

Summary:
Density of states at the Fermi level ... 6.26 states/eV/f.u.
E_tot ... -0.1972 Ry/atom
Formation energy (no corrections) ... -661 meV/atom

a = 6.6331 Å, b = 6.6331 Å, c = 6.2091 Å
α = 90.00°, β = 90.00°, γ = 90.00°
With the nearest neighbours (Å) after each atom.
Sites, in units of the cell vectors:
Sr 0.0000 0.0000 0.5000  2 Se 3.10
Se 0.0000 0.0000 0.0000  2 Sr 3.10, 4 Ba 3.32
Ba 0.5000 0.0000 0.0000  2 Se 3.32
Ba 0.0000 0.5000 0.0000  2 Se 3.32
K 0.5000 0.5000 0.5000  8 Ba 4.54, 4 Sr 4.69